# 1
The following is a DFT calculation (PBE) of a relaxed structure of ErPuH4.

Calculated values
mass density = 9.8 g cm⁻³
DFT total energy = -5.920 eV per atom

```
data_ErPuH4
_symmetry_space_group_name_H-M 'P 1'
_symmetry_Int_Tables_number 1
_cell_length_a 3.6537
_cell_length_b 3.6537
_cell_length_c 5.2550
_cell_angle_alpha 90.00
_cell_angle_beta 90.00
_cell_angle_gamma 90.00
loop_
_symmetry_equiv_pos_as_xyz
'x,y,z'
loop_
_atom_site_label
_atom_site_fract_x
_atom_site_fract_y
_atom_site_fract_z
Er1 0.5013 0.4973 0.9981
Pu1 0.0013 0.9973 0.4981
H1 0.5013 0.9973 0.2370
H2 0.5013 0.9973 0.7593
H3 0.0013 0.4973 0.7593
H4 0.0013 0.4973 0.2370
```



# 2
The following is a DFT calculation (PBE) of a relaxed structure of Sb4Se4Br3.

Calculated values
mass density = 5.8 g cm⁻³
E_form (uncorrected) = -0.126 eV/atom
DFT total energy = -3.348 eV per atom

```
data_Sb4Se4Br3
_symmetry_space_group_name_H-M 'P 1'
_symmetry_Int_Tables_number 1
_cell_length_a 3.7751
_cell_length_b 9.1994
_cell_length_c 9.9636
_cell_angle_alpha 117.49
_cell_angle_beta 100.92
_cell_angle_gamma 90.00
loop_
_symmetry_equiv_pos_as_xyz
'x,y,z'
loop_
_atom_site_label
_atom_site_fract_x
_atom_site_fract_y
_atom_site_fract_z
Sb1 0.2183 0.7183 0.4366
Sb2 0.7817 0.2817 0.5634
Sb3 0.5000 0.7662 0.0000
Sb4 0.5000 0.2338 0.0000
Se1 0.3385 0.1429 0.6769
Se2 0.6615 0.4660 0.3231
Se3 0.6615 0.8571 0.3231
Se4 0.3385 0.5340 0.6769
Br1 0.0964 0.0964 0.1927
Br2 0.9036 0.9036 0.8073
Br3 0.0000 0.5000 0.0000
```



# 3
The following is a DFT calculation (PBE) of a relaxed structure of HoPRhO.

Calculated values
mass density = 8.4 g cm⁻³
E_form (uncorrected) = -2.059 eV/atom
DFT total energy = -7.634 eV per atom

```
data_HoPRhO
_symmetry_space_group_name_H-M 'P 1'
_symmetry_Int_Tables_number 1
_cell_length_a 3.9449
_cell_length_b 3.9449
_cell_length_c 8.0025
_cell_angle_alpha 90.00
_cell_angle_beta 90.00
_cell_angle_gamma 90.00
loop_
_symmetry_equiv_pos_as_xyz
'x,y,z'
loop_
_atom_site_label
_atom_site_fract_x
_atom_site_fract_y
_atom_site_fract_z
Ho1 0.5000 0.0000 0.6343
Ho2 0.0000 0.5000 0.3657
P1 0.0000 0.5000 0.8378
P2 0.5000 0.0000 0.1622
Rh1 0.5000 0.5000 0.0000
Rh2 0.0000 0.0000 0.0000
O1 0.0000 0.0000 0.5000
O2 0.5000 0.5000 0.5000
```



# 4
The following is a DFT calculation (PBE) of a relaxed structure of GaNiPt3.

Calculated values
mass density = 12.4 g cm⁻³
formation energy = 0.782 eV per atom
DFT total energy = -4.604 eV per atom

```
data_GaNiPt3
_symmetry_space_group_name_H-M 'P 1'
_symmetry_Int_Tables_number 1
_cell_length_a 4.5733
_cell_length_b 4.5733
_cell_length_c 4.5733
_cell_angle_alpha 90.00
_cell_angle_beta 90.00
_cell_angle_gamma 90.00
loop_
_symmetry_equiv_pos_as_xyz
'x,y,z'
loop_
_atom_site_label
_atom_site_fract_x
_atom_site_fract_y
_atom_site_fract_z
Ni1 0.0000 0.0000 0.0000
Ga1 0.5000 0.5000 0.5000
Pt1 0.0000 0.5000 0.0000
Pt2 0.0000 0.0000 0.5000
Pt3 0.5000 0.0000 0.0000
```



# 5
The following is a DFT calculation (PBE) of a relaxed structure of DyErTm2.

Calculated values
mass density = 8.7 g cm⁻³
formation energy = 0.215 eV per atom
DFT total energy = -4.312 eV per atom

```
data_DyErTm2
_symmetry_space_group_name_H-M 'P 1'
_symmetry_Int_Tables_number 1
_cell_length_a 6.8520
_cell_length_b 6.8699
_cell_length_c 12.7966
_cell_angle_alpha 122.49
_cell_angle_beta 90.01
_cell_angle_gamma 90.00
loop_
_symmetry_equiv_pos_as_xyz
'x,y,z'
loop_
_atom_site_label
_atom_site_fract_x
_atom_site_fract_y
_atom_site_fract_z
Dy1 0.3753 0.0129 0.3874
Dy2 0.6247 0.9871 0.6126
Dy3 0.3753 0.4871 0.1126
Dy4 0.6247 0.5129 0.8874
Er1 0.1253 0.4877 0.6127
Er2 0.8747 0.5123 0.3873
Er3 0.1252 0.0121 0.8872
Er4 0.8748 0.9879 0.1128
Tm1 0.6256 0.0127 0.8881
Tm2 0.3744 0.9873 0.1119
Tm3 0.6257 0.4873 0.6118
Tm4 0.3743 0.5127 0.3882
Tm5 0.8757 0.4869 0.1118
Tm6 0.1243 0.5131 0.8882
Tm7 0.8757 0.0132 0.3882
Tm8 0.1243 0.9868 0.6118
```



# 6
The following is a DFT calculation (PBE) of a relaxed structure of Ce2Th2Si4Pt.

Calculated values
mass density = 8.4 g cm⁻³
E_form (uncorrected) = -0.395 eV/atom
DFT total energy = -6.444 eV per atom

```
data_Ce2Th2Si4Pt
_symmetry_space_group_name_H-M 'P 1'
_symmetry_Int_Tables_number 1
_cell_length_a 6.5097
_cell_length_b 6.5097
_cell_length_c 6.5097
_cell_angle_alpha 100.22
_cell_angle_beta 114.29
_cell_angle_gamma 114.29
loop_
_symmetry_equiv_pos_as_xyz
'x,y,z'
loop_
_atom_site_label
_atom_site_fract_x
_atom_site_fract_y
_atom_site_fract_z
Ce1 0.0000 0.6651 0.6651
Ce2 0.0000 0.3349 0.3349
Th1 0.5000 0.7500 0.2500
Th2 0.5000 0.2500 0.7500
Si1 0.0000 0.7585 0.2415
Si2 0.5171 0.7585 0.7585
Si3 0.0000 0.2415 0.7585
Si4 0.4829 0.2415 0.2415
Pt1 0.0000 0.0000 0.0000
```



# 7
The following is a DFT calculation (PBE) of a relaxed structure of KOsSe2N.

Calculated values
mass density = 4.5 g cm⁻³
E_form (uncorrected) = 2.625 eV/atom
DFT total energy = -2.899 eV per atom

```
data_KOsSe2N
_symmetry_space_group_name_H-M 'P 1'
_symmetry_Int_Tables_number 1
_cell_length_a 5.6389
_cell_length_b 5.6389
_cell_length_c 4.6339
_cell_angle_alpha 90.00
_cell_angle_beta 90.00
_cell_angle_gamma 90.00
loop_
_symmetry_equiv_pos_as_xyz
'x,y,z'
loop_
_atom_site_label
_atom_site_fract_x
_atom_site_fract_y
_atom_site_fract_z
K1 0.0000 0.0000 0.0000
Os1 0.5000 0.5000 0.5000
Se1 0.0000 0.5000 0.0000
Se2 0.5000 0.0000 0.0000
N1 0.0000 0.0000 0.5000
```



# 8
The following is a DFT calculation (PBE) of a relaxed structure of BaCrTc2.

Calculated values
mass density = 7.4 g cm⁻³
formation energy = 0.759 eV per atom
DFT total energy = -7.310 eV per atom

```
data_BaCrTc2
_symmetry_space_group_name_H-M 'P 1'
_symmetry_Int_Tables_number 1
_cell_length_a 4.6607
_cell_length_b 4.6607
_cell_length_c 6.4315
_cell_angle_alpha 76.57
_cell_angle_beta 76.57
_cell_angle_gamma 39.63
loop_
_symmetry_equiv_pos_as_xyz
'x,y,z'
loop_
_atom_site_label
_atom_site_fract_x
_atom_site_fract_y
_atom_site_fract_z
Ba1 0.7500 0.7500 0.7500
Cr1 0.2500 0.2500 0.2500
Tc1 0.9549 0.9549 0.1203
Tc2 0.5451 0.5451 0.3797
```



# 9
The following is a DFT calculation (PBE) of a relaxed structure of FeNi3As2.

Calculated values
mass density = 8.3 g cm⁻³
formation energy = -0.206 eV per atom
DFT total energy = -6.057 eV per atom

```
data_FeNi3As2
_symmetry_space_group_name_H-M 'P 1'
_symmetry_Int_Tables_number 1
_cell_length_a 5.0767
_cell_length_b 5.1504
_cell_length_c 6.8577
_cell_angle_alpha 112.06
_cell_angle_beta 111.72
_cell_angle_gamma 90.00
loop_
_symmetry_equiv_pos_as_xyz
'x,y,z'
loop_
_atom_site_label
_atom_site_fract_x
_atom_site_fract_y
_atom_site_fract_z
Fe1 0.0000 0.2500 0.0000
Fe2 0.0000 0.7500 0.0000
Ni1 0.4303 0.6721 0.3442
Ni2 0.5697 0.3279 0.6558
Ni3 0.0861 0.8279 0.6558
Ni4 0.9139 0.1721 0.3442
Ni5 0.5000 0.7500 0.0000
Ni6 0.5000 0.2500 0.0000
As1 0.3655 0.1304 0.2608
As2 0.6345 0.8696 0.7392
As3 0.1047 0.3696 0.7392
As4 0.8953 0.6304 0.2608
```



# 10
The following is a DFT calculation (PBE) of a relaxed structure of Ti4HAu2.

Calculated values
mass density = 9.0 g cm⁻³
DFT total energy = -6.166 eV per atom

```
data_Ti4HAu2
_symmetry_space_group_name_H-M 'P 1'
_symmetry_Int_Tables_number 1
_cell_length_a 3.8728
_cell_length_b 3.8728
_cell_length_c 7.7272
_cell_angle_alpha 75.49
_cell_angle_beta 75.49
_cell_angle_gamma 90.00
loop_
_symmetry_equiv_pos_as_xyz
'x,y,z'
loop_
_atom_site_label
_atom_site_fract_x
_atom_site_fract_y
_atom_site_fract_z
H1 0.0000 0.0000 0.0000
Au1 0.3594 0.3594 0.2812
Au2 0.6406 0.6406 0.7188
Ti1 0.1782 0.1782 0.6436
Ti2 0.8218 0.8218 0.3564
Ti3 0.0000 0.5000 0.0000
Ti4 0.5000 0.0000 0.0000
```



# 11
The following is a DFT calculation (PBE) of a relaxed structure of Pm2Tm6Tl.

Calculated values
mass density = 9.1 g cm⁻³
formation energy = 0.002 eV per atom
DFT total energy = -4.298 eV per atom

```
data_Pm2Tm6Tl
_symmetry_space_group_name_H-M 'P 1'
_symmetry_Int_Tables_number 1
_cell_length_a 3.4733
_cell_length_b 10.0986
_cell_length_c 9.5177
_cell_angle_alpha 122.04
_cell_angle_beta 100.50
_cell_angle_gamma 90.00
loop_
_symmetry_equiv_pos_as_xyz
'x,y,z'
loop_
_atom_site_label
_atom_site_fract_x
_atom_site_fract_y
_atom_site_fract_z
Pm1 0.1523 0.6526 0.3051
Pm2 0.8477 0.3474 0.6949
Tm1 0.1773 0.3397 0.3543
Tm2 0.8227 0.9855 0.6457
Tm3 0.8227 0.6603 0.6457
Tm4 0.5000 0.2999 0.0000
Tm5 0.1773 0.0145 0.3543
Tm6 0.5000 0.7001 0.0000
Tl1 0.0000 0.0000 0.0000
```



# 12
The following is a DFT calculation (PBE) of a relaxed structure of Ta2AgW.

Calculated values
mass density = 15.4 g cm⁻³
formation energy = 0.366 eV per atom
DFT total energy = -9.512 eV per atom

```
data_Ta2AgW
_symmetry_space_group_name_H-M 'P 1'
_symmetry_Int_Tables_number 1
_cell_length_a 5.0941
_cell_length_b 5.0941
_cell_length_c 5.1991
_cell_angle_alpha 82.54
_cell_angle_beta 82.54
_cell_angle_gamma 31.71
loop_
_symmetry_equiv_pos_as_xyz
'x,y,z'
loop_
_atom_site_label
_atom_site_fract_x
_atom_site_fract_y
_atom_site_fract_z
Ag1 0.2482 0.2482 0.2439
W1 0.5041 0.5041 0.5085
Ta1 0.9964 0.9964 0.0085
Ta2 0.7512 0.7512 0.7392
```



# 13
The following is a DFT calculation (PBE) of a relaxed structure of Tb2SmIn.

Calculated values
mass density = 8.3 g cm⁻³
formation energy = -0.112 eV per atom
DFT total energy = -4.292 eV per atom

```
data_Tb2SmIn
_symmetry_space_group_name_H-M 'P 1'
_symmetry_Int_Tables_number 1
_cell_length_a 5.4908
_cell_length_b 5.4908
_cell_length_c 5.4908
_cell_angle_alpha 60.00
_cell_angle_beta 60.00
_cell_angle_gamma 60.00
loop_
_symmetry_equiv_pos_as_xyz
'x,y,z'
loop_
_atom_site_label
_atom_site_fract_x
_atom_site_fract_y
_atom_site_fract_z
Tb1 0.2500 0.2500 0.2500
Tb2 0.7500 0.7500 0.7500
Sm1 0.0000 0.0000 0.0000
In1 0.5000 0.5000 0.5000
```



# 14
The following is a DFT calculation (PBE) of a relaxed structure of LaNdNi2P2.

Calculated values
mass density = 6.8 g cm⁻³
formation energy = -1.171 eV per atom
DFT total energy = -6.517 eV per atom

```
data_LaNdNi2P2
_symmetry_space_group_name_H-M 'P 1'
_symmetry_Int_Tables_number 1
_cell_length_a 3.9927
_cell_length_b 3.9927
_cell_length_c 8.1721
_cell_angle_alpha 90.00
_cell_angle_beta 90.00
_cell_angle_gamma 120.00
loop_
_symmetry_equiv_pos_as_xyz
'x,y,z'
loop_
_atom_site_label
_atom_site_fract_x
_atom_site_fract_y
_atom_site_fract_z
La1 0.0000 0.0000 0.0000
Nd1 0.0000 0.0000 0.5000
Ni1 0.6667 0.3333 0.2513
Ni2 0.3333 0.6667 0.7487
P1 0.6667 0.3333 0.7435
P2 0.3333 0.6667 0.2565
```



# 15
The following is a DFT calculation (PBE) of a relaxed structure of K2PuTeSe4.

Calculated values
mass density = 5.0 g cm⁻³
E_form (uncorrected) = -0.927 eV/atom
DFT total energy = -5.128 eV per atom

```
data_K2PuTeSe4
_symmetry_space_group_name_H-M 'P 1'
_symmetry_Int_Tables_number 1
_cell_length_a 8.6556
_cell_length_b 8.6556
_cell_length_c 8.6580
_cell_angle_alpha 116.38
_cell_angle_beta 116.38
_cell_angle_gamma 89.79
loop_
_symmetry_equiv_pos_as_xyz
'x,y,z'
loop_
_atom_site_label
_atom_site_fract_x
_atom_site_fract_y
_atom_site_fract_z
K1 0.5000 0.0000 0.0000
K2 0.5000 0.0000 0.5000
K3 0.0000 0.0000 0.5000
K4 0.5000 0.5000 0.0000
Pu1 0.0000 0.5000 0.0000
Pu2 0.0000 0.5000 0.5000
Te1 0.5000 0.5000 0.5000
Te2 0.0000 0.0000 0.0000
Se1 0.1898 0.7258 0.9371
Se2 0.7742 0.3102 0.5629
Se3 0.2258 0.6898 0.4371
Se4 0.8102 0.2742 0.0629
Se5 0.7997 0.7670 0.0200
Se6 0.7330 0.7003 0.4800
Se7 0.2670 0.2997 0.5200
Se8 0.2003 0.2330 0.9800
```



# 16
The following is a DFT calculation (PBE) of a relaxed structure of TaCoMo.

Calculated values
mass density = 12.4 g cm⁻³
formation energy = 0.073 eV per atom
DFT total energy = -9.857 eV per atom

```
data_TaCoMo
_symmetry_space_group_name_H-M 'P 1'
_symmetry_Int_Tables_number 1
_cell_length_a 5.3433
_cell_length_b 4.4219
_cell_length_c 9.1468
_cell_angle_alpha 90.00
_cell_angle_beta 123.63
_cell_angle_gamma 90.00
loop_
_symmetry_equiv_pos_as_xyz
'x,y,z'
loop_
_atom_site_label
_atom_site_fract_x
_atom_site_fract_y
_atom_site_fract_z
Mo1 0.3246 0.0000 0.7605
Mo2 0.3245 0.5000 0.2605
Mo3 0.4892 0.0000 0.0824
Mo4 0.4892 0.5000 0.5824
Co1 0.6398 0.0000 0.4111
Co2 0.6399 0.5000 0.9112
Co3 0.0033 0.0000 0.1023
Co4 0.0032 0.5000 0.6023
Ta1 0.8128 0.0000 0.7503
Ta2 0.8127 0.5000 0.2503
Ta3 0.1500 0.0000 0.4294
Ta4 0.1500 0.5000 0.9294
```



# 17
The following is a DFT calculation (PBE) of a relaxed structure of CuOsW2.

Calculated values
mass density = 17.1 g cm⁻³
formation energy = 0.294 eV per atom
DFT total energy = -10.014 eV per atom

```
data_CuOsW2
_symmetry_space_group_name_H-M 'P 1'
_symmetry_Int_Tables_number 1
_cell_length_a 9.2476
_cell_length_b 9.2476
_cell_length_c 9.2476
_cell_angle_alpha 17.20
_cell_angle_beta 17.20
_cell_angle_gamma 17.20
loop_
_symmetry_equiv_pos_as_xyz
'x,y,z'
loop_
_atom_site_label
_atom_site_fract_x
_atom_site_fract_y
_atom_site_fract_z
Cu1 0.4984 0.4984 0.4984
Os1 0.7503 0.7503 0.7503
W1 0.0044 0.0044 0.0044
W2 0.2470 0.2470 0.2470
```



# 18
The following is a DFT calculation (PBE) of a relaxed structure of LaTbLuPb.

Calculated values
mass density = 9.3 g cm⁻³
formation energy = -0.149 eV per atom
DFT total energy = -4.596 eV per atom

```
data_LaTbLuPb
_symmetry_space_group_name_H-M 'P 1'
_symmetry_Int_Tables_number 1
_cell_length_a 5.5658
_cell_length_b 5.5658
_cell_length_c 5.5658
_cell_angle_alpha 60.00
_cell_angle_beta 60.00
_cell_angle_gamma 60.00
loop_
_symmetry_equiv_pos_as_xyz
'x,y,z'
loop_
_atom_site_label
_atom_site_fract_x
_atom_site_fract_y
_atom_site_fract_z
Pb1 0.2500 0.2500 0.2500
Lu1 0.7500 0.7500 0.7500
Tb1 0.5000 0.5000 0.5000
La1 0.0000 0.0000 0.0000
```



# 19
The following is a DFT calculation (PBE) of a relaxed structure of LiPuZnGa.

Calculated values
mass density = 8.1 g cm⁻³
formation energy = -0.151 eV per atom
DFT total energy = -5.287 eV per atom

```
data_LiPuZnGa
_symmetry_space_group_name_H-M 'P 1'
_symmetry_Int_Tables_number 1
_cell_length_a 4.8149
_cell_length_b 4.8149
_cell_length_c 4.8149
_cell_angle_alpha 60.00
_cell_angle_beta 60.00
_cell_angle_gamma 60.00
loop_
_symmetry_equiv_pos_as_xyz
'x,y,z'
loop_
_atom_site_label
_atom_site_fract_x
_atom_site_fract_y
_atom_site_fract_z
Zn1 0.0000 0.0000 0.0000
Li1 0.7500 0.7500 0.7500
Ga1 0.5000 0.5000 0.5000
Pu1 0.2500 0.2500 0.2500
```



# 20
The following is a DFT calculation (PBE) of a relaxed structure of MnBe2Tl.

Calculated values
mass density = 8.4 g cm⁻³
formation energy = 0.552 eV per atom
DFT total energy = -4.195 eV per atom

```
data_MnBe2Tl
_symmetry_space_group_name_H-M 'P 1'
_symmetry_Int_Tables_number 1
_cell_length_a 4.6242
_cell_length_b 4.6242
_cell_length_c 4.3515
_cell_angle_alpha 74.44
_cell_angle_beta 74.44
_cell_angle_gamma 37.85
loop_
_symmetry_equiv_pos_as_xyz
'x,y,z'
loop_
_atom_site_label
_atom_site_fract_x
_atom_site_fract_y
_atom_site_fract_z
Be1 0.9725 0.9725 0.0285
Be2 0.2664 0.2664 0.2695
Tl1 0.7408 0.7408 0.7766
Mn1 0.5203 0.5203 0.4254
```